Version one
First-principles (GGA-PBE) data for an optimized crystal structure of YIrI2O, as listed in the Alexandria database.

```
data_YIrI2O
_cell_length_a 5.7768
_cell_length_b 5.7768
_cell_length_c 3.7482
_cell_angle_alpha 90.00
_cell_angle_beta 90.00
_cell_angle_gamma 90.00
_symmetry_space_group_name_H-M 'P 4/m m m'
_symmetry_Int_Tables_number 123
_symmetry_space_group_name_Hall '-P 4 2'
loop_
_atom_site_label
_atom_site_fract_x
_atom_site_fract_y
_atom_site_fract_z
Y1 0.0000 0.0000 0.0000
Ir1 0.5000 0.5000 0.5000
I1 0.0000 0.5000 0.5000
O1 0.5000 0.5000 0.0000
```

Version two
First-principles (GGA-PBE) data for an optimized crystal structure of YIrI2O, as listed in the Alexandria database.

```
data_YIrI2O
_cell_length_a 6.0662
_cell_length_b 6.0662
_cell_length_c 4.0924
_cell_angle_alpha 90.00
_cell_angle_beta 90.00
_cell_angle_gamma 90.00
_symmetry_space_group_name_H-M 'P 4/m m m'
_symmetry_Int_Tables_number 123
_symmetry_space_group_name_Hall '-P 4 2'
loop_
_atom_site_label
_atom_site_fract_x
_atom_site_fract_y
_atom_site_fract_z
Y1 0.0000 0.0000 0.0000
Ir1 0.5000 0.5000 0.5000
I1 0.0000 0.5000 0.0000
O1 0.0000 0.0000 0.5000
```

Short version: version two is the least stable of them.

Version one
First-principles (GGA-PBE) data for an optimized crystal structure of ZnIrIO2, as listed in the Alexandria database.

```
data_ZnIrIO2
_cell_length_a 3.8248
_cell_length_b 3.8248
_cell_length_c 6.4061
_cell_angle_alpha 90.00
_cell_angle_beta 90.00
_cell_angle_gamma 90.00
_symmetry_space_group_name_H-M 'P 4/m m m'
_symmetry_Int_Tables_number 123
_symmetry_space_group_name_Hall '-P 4 2'
loop_
_atom_site_label
_atom_site_fract_x
_atom_site_fract_y
_atom_site_fract_z
Zn1 0.0000 0.0000 0.0000
Ir1 0.5000 0.5000 0.5000
I1 0.0000 0.0000 0.5000
O1 0.0000 0.5000 0.0000
```

Version two
First-principles (GGA-PBE) data for an optimized crystal structure of ZnIrIO2, as listed in the Alexandria database.

```
data_ZnIrIO2
_cell_length_a 3.8066
_cell_length_b 3.8066
_cell_length_c 8.1508
_cell_angle_alpha 90.00
_cell_angle_beta 90.00
_cell_angle_gamma 90.00
_symmetry_space_group_name_H-M 'P 4/m m m'
_symmetry_Int_Tables_number 123
_symmetry_space_group_name_Hall '-P 4 2'
loop_
_atom_site_label
_atom_site_fract_x
_atom_site_fract_y
_atom_site_fract_z
Zn1 0.0000 0.0000 0.0000
Ir1 0.5000 0.5000 0.5000
I1 0.5000 0.5000 0.0000
O1 0.0000 0.5000 0.5000
```

Short version: version one is the least stable of them.

Version one
First-principles (GGA-PBE) data for an optimized crystal structure of ZrIrIO2, as listed in the Alexandria database.

```
data_ZrIrIO2
_cell_length_a 4.0250
_cell_length_b 4.0250
_cell_length_c 6.4020
_cell_angle_alpha 90.00
_cell_angle_beta 90.00
_cell_angle_gamma 90.00
_symmetry_space_group_name_H-M 'P 4/m m m'
_symmetry_Int_Tables_number 123
_symmetry_space_group_name_Hall '-P 4 2'
loop_
_atom_site_label
_atom_site_fract_x
_atom_site_fract_y
_atom_site_fract_z
Zr1 0.0000 0.0000 0.0000
Ir1 0.5000 0.5000 0.5000
I1 0.0000 0.0000 0.5000
O1 0.0000 0.5000 0.0000
```

Version two
First-principles (GGA-PBE) data for an optimized crystal structure of ZrIrIO2, as listed in the Alexandria database.

```
data_ZrIrIO2
_cell_length_a 3.8825
_cell_length_b 3.8825
_cell_length_c 6.7611
_cell_angle_alpha 90.00
_cell_angle_beta 90.00
_cell_angle_gamma 90.00
_symmetry_space_group_name_H-M 'P 4/m m m'
_symmetry_Int_Tables_number 123
_symmetry_space_group_name_Hall '-P 4 2'
loop_
_atom_site_label
_atom_site_fract_x
_atom_site_fract_y
_atom_site_fract_z
Zr1 0.0000 0.0000 0.0000
Ir1 0.5000 0.5000 0.5000
I1 0.5000 0.5000 0.0000
O1 0.0000 0.5000 0.5000
```

Short version: version two is the least stable of them.